1.
DFT (PBE) results for La2Mn2Au after structural relaxation.

a b c (Å): 7.315 7.315 4.340
angles (deg): 90.00 90.00 90.00
Positions (direct):
La1 0.173 0.327 0.000
La2 0.327 0.827 0.000
La3 0.673 0.173 0.000
La4 0.827 0.673 0.000
Mn1 0.125 0.625 0.500
Mn2 0.375 0.125 0.500
Mn3 0.625 0.875 0.500
Mn4 0.875 0.375 0.500
Au1 0.000 0.000 0.500
Au2 0.500 0.500 0.500

## Properties
Calculated formation energy, eV/atom: -0.019
Symmetry: P4/mbm
Magnetization, μB/cell: 10.98

---

2.
DFT (PBE) results for K3Na3MnCl8 after structural relaxation.

a b c (Å): 8.616 8.616 8.616
angles (deg): 57.28 57.28 57.28
Positions (direct):
K1 0.000 0.500 0.500
K2 0.500 0.000 0.500
K3 0.500 0.500 0.000
Na1 0.000 0.000 0.500
Na2 0.000 0.500 0.000
Na3 0.500 0.000 0.000
Mn1 0.500 0.500 0.500
Cl1 0.240 0.240 0.240
Cl2 0.267 0.717 0.717
Cl3 0.283 0.283 0.733
Cl4 0.283 0.733 0.283
Cl5 0.717 0.267 0.717
Cl6 0.717 0.717 0.267
Cl7 0.733 0.283 0.283
Cl8 0.760 0.760 0.760

## Properties
Uncorrected formation energy, eV/atom: -1.7194
Symmetry: R-3m
Magnetization, μB/cell: 5.00

---

3.
DFT (PBE) results for CaPr2 after structural relaxation.

a b c (Å): 6.960 6.960 6.960
angles (deg): 60.00 60.00 60.00
Positions (direct):
Ca1 0.125 0.125 0.125
Ca2 0.875 0.875 0.875
Pr1 0.000 0.500 0.500
Pr2 0.500 0.000 0.500
Pr3 0.500 0.500 0.000
Pr4 0.500 0.500 0.500

## Properties
Calculated formation energy, eV/atom: 0.160
Energy above the most stable polymorph in this dataset, meV per atom: 140
Symmetry: Fd-3m
Magnetization, μB/cell: 0.00

---

4.
DFT (PBE) results for Zr2CdIr after structural relaxation.

a b c (Å): 3.304 4.512 5.706
angles (deg): 90.00 106.72 90.00
Positions (direct):
Zr1 0.000 0.000 0.000
Zr2 0.310 0.500 0.625
Cd1 0.587 0.500 0.175
Ir1 0.756 0.000 0.519

## Properties
Calculated formation energy, eV/atom: -0.352
Symmetry: Pm
Magnetization, μB/cell: 0.00

---

5.
DFT (PBE) results for NbAlZnGa after structural relaxation.

a b c (Å): 5.235 5.235 5.235
angles (deg): 137.74 137.74 61.31
Positions (direct):
Nb1 0.000 0.000 0.000
Al1 0.250 0.750 0.500
Zn1 0.750 0.250 0.500
Ga1 0.500 0.500 0.000

## Properties
Calculated formation energy, eV/atom: -0.278
Symmetry: I-4m2
Magnetization, μB/cell: 0.00

---

6.
DFT (PBE) results for Nd2AlPb after structural relaxation.

a b c (Å): 3.551 3.551 8.928
angles (deg): 90.00 90.00 90.00
Positions (direct):
Nd1 0.000 0.000 0.232
Nd2 0.000 0.000 0.768
Al1 0.500 0.500 0.000
Pb1 0.500 0.500 0.500

## Properties
Calculated formation energy, eV/atom: -0.417
Symmetry: P4/mmm
Magnetization, μB/cell: 0.00

---

7.
DFT (PBE) results for LaYSb2 after structural relaxation.

a b c (Å): 8.650 8.650 8.650
angles (deg): 131.06 131.06 71.71
Positions (direct):
La1 0.000 0.000 0.000
La2 0.750 0.250 0.500
Y1 0.250 0.750 0.500
Y2 0.500 0.500 0.000
Sb1 0.142 0.625 0.017
Sb2 0.375 0.392 0.517
Sb3 0.608 0.125 0.983
Sb4 0.875 0.858 0.483

## Properties
Energy above the most stable polymorph in this dataset, meV per atom: 543
Uncorrected formation energy, eV/atom: -0.6757
Symmetry: I-42d
Magnetization, μB/cell: 0.00

---

8.
DFT (PBE) results for Mn2NiGeH after structural relaxation.

a b c (Å): 3.711 3.711 3.711
angles (deg): 90.00 90.00 90.00
Positions (direct):
Mn1 0.000 0.500 0.000
Mn2 0.500 0.000 0.000
Ni1 0.000 0.000 0.500
Ge1 0.500 0.500 0.500
H1 0.000 0.000 0.000

## Properties
Uncorrected energy, hartree per atom: -0.24157
Symmetry: P4/mmm
Magnetization, μB/cell: 4.91

---

9.
DFT (PBE) results for YPt2 after structural relaxation.

a b c (Å): 5.833 4.282 9.097
angles (deg): 90.00 90.00 90.00
Positions (direct):
Y1 0.150 0.250 0.108
Y2 0.350 0.750 0.608
Y3 0.650 0.250 0.392
Y4 0.850 0.750 0.892
Pt1 0.116 0.250 0.761
Pt2 0.137 0.250 0.428
Pt3 0.363 0.750 0.928
Pt4 0.384 0.750 0.261
Pt5 0.616 0.250 0.739
Pt6 0.637 0.250 0.072
Pt7 0.863 0.750 0.572
Pt8 0.884 0.750 0.239

## Properties
Calculated formation energy, eV/atom: -1.027
Symmetry: Pnma
Magnetization, μB/cell: 0.00

---

10.
DFT (PBE) results for ReSi2Ir after structural relaxation.

a b c (Å): 8.020 8.020 8.020
angles (deg): 20.74 20.74 20.74
Positions (direct):
Re1 0.000 0.000 0.000
Si1 0.493 0.493 0.493
Si2 0.744 0.744 0.744
Ir1 0.236 0.236 0.236

## Properties
Energy above the most stable polymorph in this dataset, meV per atom: 307
Uncorrected formation energy, eV/atom: -0.0758
Symmetry: R3m
Magnetization, μB/cell: 0.00

---

11.
DFT (PBE) results for LaCrNi4 after structural relaxation.

a b c (Å): 5.001 5.001 5.001
angles (deg): 60.00 60.00 60.00
Positions (direct):
La1 0.000 0.000 0.000
Cr1 0.250 0.250 0.250
Ni1 0.129 0.624 0.624
Ni2 0.624 0.129 0.624
Ni3 0.624 0.624 0.129
Ni4 0.624 0.624 0.624

## Properties
Calculated formation energy, eV/atom: -0.067
Symmetry: F-43m
Magnetization, μB/cell: 5.34

---

12.
DFT (PBE) results for Sm2ErP3 after structural relaxation.

a b c (Å): 7.035 7.035 7.036
angles (deg): 99.59 99.59 119.99
Positions (direct):
Sm1 0.000 0.000 0.000
Sm2 0.166 0.834 0.500
Sm3 0.500 0.500 0.500
Sm4 0.834 0.166 0.500
Er1 0.333 0.667 0.000
Er2 0.667 0.333 0.000
P1 0.082 0.419 0.245
P2 0.257 0.257 0.756
P3 0.419 0.082 0.245
P4 0.581 0.918 0.755
P5 0.743 0.743 0.244
P6 0.918 0.581 0.755

## Properties
Calculated formation energy, eV/atom: -1.579
Symmetry: C2/m
Magnetization, μB/cell: 0.00

---

13.
DFT (PBE) results for NbTlSn2F after structural relaxation.

a b c (Å): 5.357 5.357 4.191
angles (deg): 90.00 90.00 90.00
Positions (direct):
Nb1 0.000 0.000 0.000
Tl1 0.500 0.500 0.000
Sn1 0.000 0.500 0.500
Sn2 0.500 0.000 0.500
F1 0.000 0.000 0.500

## Properties
Uncorrected formation energy, eV/atom: -0.0272
Symmetry: P4/mmm
Magnetization, μB/cell: 1.63

---

14.
DFT (PBE) results for Er2Tc3Ru after structural relaxation.

a b c (Å): 5.226 5.226 5.519
angles (deg): 118.42 118.42 60.06
Positions (direct):
Er1 0.125 0.125 0.375
Er2 0.875 0.875 0.625
Tc1 0.000 0.500 0.000
Tc2 0.500 0.000 0.000
Tc3 0.500 0.500 0.000
Ru1 0.500 0.500 0.500

## Properties
Calculated formation energy, eV/atom: -0.237
Symmetry: C2/m
Magnetization, μB/cell: 0.00

---

15.
DFT (PBE) results for Y7Cd2Ni2 after structural relaxation.

a b c (Å): 6.808 6.808 7.029
angles (deg): 90.00 90.00 109.49
Positions (direct):
Y1 0.000 0.000 0.000
Y2 0.000 0.500 0.247
Y3 0.000 0.500 0.753
Y4 0.500 0.000 0.247
Y5 0.500 0.000 0.753
Y6 0.500 0.500 0.238
Y7 0.500 0.500 0.762
Cd1 0.176 0.176 0.500
Cd2 0.824 0.824 0.500
Ni1 0.296 0.704 0.000
Ni2 0.704 0.296 0.000

## Properties
Calculated formation energy, eV/atom: -0.161
Symmetry: Cmmm
Magnetization, μB/cell: 0.00

---

16.
DFT (PBE) results for MgSb2HW after structural relaxation.

a b c (Å): 5.672 5.672 3.110
angles (deg): 90.00 90.00 90.00
Positions (direct):
Mg1 0.000 0.000 0.000
Sb1 0.000 0.500 0.000
Sb2 0.500 0.000 0.000
H1 0.000 0.000 0.500
W1 0.500 0.500 0.500

## Properties
Uncorrected energy, hartree per atom: -0.16125
Symmetry: P4/mmm
Magnetization, μB/cell: 2.33

---

17.
DFT (PBE) results for Tb3SnAs2Rh9 after structural relaxation.

a b c (Å): 6.269 6.269 9.320
angles (deg): 90.00 90.00 120.00
Positions (direct):
Tb1 0.000 0.000 0.000
Tb2 0.333 0.667 0.744
Tb3 0.667 0.333 0.256
Sn1 0.000 0.000 0.500
As1 0.333 0.667 0.169
As2 0.667 0.333 0.831
Rh1 0.000 0.500 0.000
Rh2 0.141 0.282 0.266
Rh3 0.141 0.859 0.266
Rh4 0.282 0.141 0.734
Rh5 0.500 0.000 0.000
Rh6 0.500 0.500 0.000
Rh7 0.718 0.859 0.266
Rh8 0.859 0.141 0.734
Rh9 0.859 0.718 0.734

## Properties
Calculated formation energy, eV/atom: -0.449
Symmetry: P-3m1
Magnetization, μB/cell: 0.00

---

18.
DFT (PBE) results for CsLi3Pa4Se12 after structural relaxation.

a b c (Å): 9.059 9.059 9.059
angles (deg): 109.47 109.47 109.47
Positions (direct):
Cs1 0.000 0.000 0.000
Li1 0.000 0.500 0.500
Li2 0.500 0.000 0.500
Li3 0.500 0.500 0.000
Pa1 0.000 0.000 0.500
Pa2 0.000 0.500 0.000
Pa3 0.500 0.000 0.000
Pa4 0.500 0.500 0.500
Se1 0.127 0.818 0.309
Se2 0.182 0.309 0.492
Se3 0.182 0.691 0.873
Se4 0.309 0.127 0.818
Se5 0.309 0.492 0.182
Se6 0.492 0.182 0.309
Se7 0.508 0.818 0.691
Se8 0.691 0.508 0.818
Se9 0.691 0.873 0.182
Se10 0.818 0.309 0.127
Se11 0.818 0.691 0.508
Se12 0.873 0.182 0.691

## Properties
Uncorrected formation energy, eV/atom: -1.2747
Symmetry: Im-3
Magnetization, μB/cell: 0.00

---

19.
DFT (PBE) results for HfBAu after structural relaxation.

a b c (Å): 8.545 3.177 7.600
angles (deg): 90.00 90.00 90.00
Positions (direct):
Hf1 0.009 0.250 0.197
Hf2 0.491 0.750 0.697
Hf3 0.509 0.250 0.303
Hf4 0.991 0.750 0.803
B1 0.000 0.000 0.500
B2 0.000 0.500 0.500
B3 0.500 0.000 0.000
B4 0.500 0.500 0.000
Au1 0.237 0.250 0.924
Au2 0.263 0.750 0.424
Au3 0.737 0.250 0.576
Au4 0.763 0.750 0.076

## Properties
Calculated formation energy, eV/atom: -0.023
Symmetry: Pnma
Magnetization, μB/cell: 0.00

---

20.
DFT (PBE) results for NdSm5YTh2 after structural relaxation.

a b c (Å): 10.045 10.045 10.045
angles (deg): 127.15 127.15 78.00
Positions (direct):
Nd1 0.250 0.250 0.000
Nd2 0.750 0.750 0.000
Sm1 0.000 0.000 0.000
Sm2 0.072 0.572 0.919
Sm3 0.153 0.072 0.500
Sm4 0.347 0.847 0.919
Sm5 0.428 0.347 0.500
Sm6 0.500 0.500 0.000
Sm7 0.572 0.653 0.500
Sm8 0.653 0.153 0.081
Sm9 0.847 0.928 0.500
Sm10 0.928 0.428 0.081
Y1 0.250 0.750 0.500
Y2 0.750 0.250 0.500
Th1 0.119 0.381 0.500
Th2 0.381 0.881 0.262
Th3 0.619 0.119 0.738
Th4 0.881 0.619 0.500

## Properties
Calculated formation energy, eV/atom: 0.327
Symmetry: I4/mcm
Magnetization, μB/cell: 0.00